The following is a DFT calculation (PBE) of a geometry-optimized Ce14Pu3Os6 structure.

a = 6.2046 Å, b = 9.9567 Å, c = 9.9567 Å
α = 120.00°, β = 90.00°, γ = 90.00°
Closest atoms and distances in Å follow each position.
Element x y z (fractional)
Ce 0.0234 0.1518 0.3036  1 Pu 2.72, 2 Os 2.86
Ce 0.7281 0.3897 0.1948  1 Pu 2.68, 2 Os 2.88
Ce 0.7281 0.8051 0.6103  1 Pu 2.68, 2 Os 2.88
Ce 0.1908 0.5374 0.0748  2 Os 2.84, 1 Pu 3.08
Ce 0.1908 0.5374 0.4626  2 Os 2.84, 1 Pu 3.08
Ce 0.5141 0.1849 0.3698  1 Pu 2.70, 2 Os 2.79
Ce 0.0234 0.6964 0.8482  1 Pu 2.72, 2 Os 2.86
Ce 0.0234 0.1518 0.8482  1 Pu 2.72, 2 Os 2.86
Ce 0.7281 0.8052 0.1949  1 Pu 2.68, 2 Os 2.88
Ce 0.4808 0.0000 0.0000  1 Pu 2.61
Ce 0.5141 0.1849 0.8151  1 Pu 2.70, 2 Os 2.79
Ce 0.9580 0.3333 0.6667  1 Pu 2.61
Ce 0.5141 0.6302 0.8151  1 Pu 2.70, 2 Os 2.79
Ce 0.1908 0.9252 0.4626  2 Os 2.84, 1 Pu 3.08
Pu 0.5324 0.6667 0.3333  3 Ce 2.68
Pu 0.3783 0.3333 0.6667  4 Ce 2.61-2.70
Pu 0.9018 0.0000 0.0000  4 Ce 2.61-2.72
Os 0.2172 0.8515 0.7030  6 Ce 2.84-3.14
Os 0.6903 0.4822 0.9643  5 Ce 2.79-3.06
Os 0.6903 0.0357 0.5179  5 Ce 2.79-3.06
Os 0.2172 0.8515 0.1485  6 Ce 2.84-3.14
Os 0.2172 0.2970 0.1485  6 Ce 2.84-3.14
Os 0.6903 0.4821 0.5178  5 Ce 2.79-3.06

Calculated values
symmetry = P3m1 (156)
DOS at the Fermi energy = 40.624 states/eV/cell
E_tot = -8.5175 eV/atom
formation energy = -0.107 eV per atom


The following is a DFT calculation (PBE) of a geometry-optimized Ce6PuOs2 structure.

a = 6.0303 Å, b = 7.7829 Å, c = 9.2624 Å
α = 90.00°, β = 90.00°, γ = 90.88°
Closest atoms and distances in Å follow each position.
Element x y z (fractional)
Pu 0.5000 0.0000 0.5000  6 Ce 2.49-2.52
Pu 0.0000 0.5000 0.0000  6 Ce 2.49-2.52
Ce 0.1313 0.4496 0.2539  1 Pu 2.51
Ce 0.3565 0.6960 0.5231  1 Pu 2.52
Ce 0.8565 0.1960 0.9769  1 Pu 2.52
Ce 0.8446 0.9389 0.6372  1 Pu 2.49
Ce 0.3446 0.4389 0.8628  1 Pu 2.49
Ce 0.6554 0.5611 0.1372  1 Pu 2.49
Ce 0.8687 0.5504 0.7461  1 Pu 2.51
Ce 0.1435 0.8040 0.0231  1 Pu 2.52
Ce 0.1554 0.0611 0.3628  1 Pu 2.49
Ce 0.3687 0.0504 0.7539  1 Pu 2.51
Ce 0.6435 0.3040 0.4769  1 Pu 2.52
Ce 0.6313 0.9496 0.2461  1 Pu 2.51
Os 0.1487 0.3483 0.5474  6 Ce 2.82-3.13, 1 Os 3.11
Os 0.3513 0.1517 0.0474  6 Ce 2.82-3.13, 1 Os 3.11
Os 0.8513 0.6517 0.4526  6 Ce 2.82-3.13, 1 Os 3.11
Os 0.6487 0.8483 0.9526  6 Ce 2.82-3.13, 1 Os 3.11

Calculated values
symmetry = P2_1/c (14)
DOS at the Fermi energy = 29.276 states/eV/cell
E_tot = -8.0759 eV/atom
formation energy = -0.032 eV per atom


The following is a DFT calculation (PBE) of a geometry-optimized CePu2Os9 structure.

a = 5.2524 Å, b = 5.3306 Å, c = 9.3060 Å
α = 73.15°, β = 73.49°, γ = 60.64°
Closest atoms and distances in Å follow each position.
Element x y z (fractional)
Os 0.0778 0.5962 0.7454  7 Os 2.59-2.72
Os 0.3118 0.3969 0.9920  8 Os 2.60-2.87, 1 Ce 2.82
Os 0.6882 0.6031 0.0080  8 Os 2.60-2.87, 1 Ce 2.82
Os 0.5831 0.6006 0.7425  7 Os 2.59-2.74
Os 0.5000 0.5000 0.5000  6 Os 2.66-2.79
Os 0.9222 0.4038 0.2546  7 Os 2.59-2.72
Os 0.4169 0.3994 0.2575  7 Os 2.59-2.74
Os 0.5775 0.0782 0.7660  7 Os 2.60-2.80
Os 0.4225 0.9218 0.2340  7 Os 2.60-2.80
Pu 0.8619 0.8552 0.4231  11 Os 3.01-3.19, 3 Pu 3.34-3.36
Pu 0.1381 0.1448 0.5769  11 Os 3.01-3.19, 3 Pu 3.34-3.36
Ce 0.0000 0.0000 0.0000  2 Os 2.82

Calculated values
symmetry = P-1 (2)
DOS at the Fermi energy = 24.215 states/eV/cell
E_tot = -11.3054 eV/atom
formation energy = 0.000 eV per atom


The following is a DFT calculation (PBE) of a geometry-optimized Ce5PuOs4 structure.

a = 4.6591 Å, b = 6.6511 Å, c = 10.1498 Å
α = 128.55°, β = 103.27°, γ = 90.00°
Closest atoms and distances in Å follow each position.
Element x y z (fractional)
Pu 0.5000 0.0000 0.0000  6 Os 2.85-2.88
Os 0.3406 0.9321 0.6812  1 Pu 2.88, 7 Ce 2.93-3.12
Os 0.6594 0.0679 0.3188  1 Pu 2.88, 7 Ce 2.93-3.12
Os 0.0060 0.7662 0.0121  2 Pu 2.85, 6 Ce 2.88-3.13
Os 0.9940 0.2338 0.9879  2 Pu 2.85, 6 Ce 2.88-3.13
Ce 0.8323 0.6493 0.6646  5 Os 2.93-3.12, 1 Ce 3.09
Ce 0.1685 0.8171 0.3370  5 Os 2.94-3.13, 1 Ce 3.09
Ce 0.1677 0.3507 0.3354  5 Os 2.93-3.12, 1 Ce 3.09
Ce 0.5000 0.5000 0.0000  6 Os 2.88-2.99
Ce 0.8315 0.1829 0.6630  5 Os 2.94-3.13, 1 Ce 3.09

Calculated values
symmetry = C2/m (12)
DOS at the Fermi energy = 20.334 states/eV/cell
E_tot = -8.9778 eV/atom
formation energy = -0.086 eV per atom


The following is a DFT calculation (PBE) of a geometry-optimized CePuScOs structure.

a = 4.9132 Å, b = 4.9132 Å, c = 4.9132 Å
α = 60.00°, β = 60.00°, γ = 60.00°
Closest atoms and distances in Å follow each position.
Element x y z (fractional)
Pu 0.0000 0.0000 0.0000  4 Ce 3.01, 4 Sc 3.01
Os 0.5000 0.5000 0.5000  4 Ce 3.01, 4 Sc 3.01
Ce 0.7500 0.7500 0.7500  4 Os 3.01, 4 Pu 3.01
Sc 0.2500 0.2500 0.2500  4 Os 3.01, 4 Pu 3.01

Calculated values
symmetry = F-43m (216)
DOS at the Fermi energy = 9.237 states/eV/cell
E_tot = -9.4417 eV/atom
formation energy = 0.015 eV per atom


The following is a DFT calculation (PBE) of a geometry-optimized CePuSiOs structure.

a = 4.9304 Å, b = 4.2317 Å, c = 4.9869 Å
α = 90.00°, β = 90.00°, γ = 125.63°
Closest atoms and distances in Å follow each position.
Element x y z (fractional)
Ce 0.3571 0.7142 0.0000  3 Pu 2.59-2.65
Pu 0.9718 0.9436 0.0000  2 Os 2.51, 3 Ce 2.59-2.65
Si 0.6661 0.3321 0.5000  3 Os 2.42-2.67
Os 0.0174 0.0348 0.5000  3 Si 2.42-2.67, 2 Pu 2.51

Calculated values
symmetry = Amm2 (38)
DOS at the Fermi energy = 6.851 states/eV/cell
E_tot = -8.9513 eV/atom


The following is a DFT calculation (PBE) of a geometry-optimized TbCePuOs structure.

a = 5.0489 Å, b = 5.0489 Å, c = 5.0489 Å
α = 60.00°, β = 60.00°, γ = 60.00°
Closest atoms and distances in Å follow each position.
Element x y z (fractional)
Pu 0.7500 0.7500 0.7500  4 Ce 3.09, 4 Tb 3.09
Ce 0.5000 0.5000 0.5000  4 Pu 3.09, 4 Os 3.09
Tb 0.0000 0.0000 0.0000  4 Os 3.09, 4 Pu 3.09
Os 0.2500 0.2500 0.2500  4 Tb 3.09, 4 Ce 3.09

Calculated values
symmetry = F-43m (216)
DOS at the Fermi energy = 9.257 states/eV/cell
E_tot = -8.9032 eV/atom
formation energy = 0.128 eV per atom


The following is a DFT calculation (PBE) of a geometry-optimized CePuTcOs structure.

a = 4.8343 Å, b = 4.8343 Å, c = 4.8343 Å
α = 60.00°, β = 60.00°, γ = 60.00°
Closest atoms and distances in Å follow each position.
Element x y z (fractional)
Os 0.0000 0.0000 0.0000  4 Pu 2.96, 4 Ce 2.96
Ce 0.7500 0.7500 0.7500  4 Tc 2.96, 4 Os 2.96
Pu 0.2500 0.2500 0.2500  4 Tc 2.96, 4 Os 2.96
Tc 0.5000 0.5000 0.5000  4 Ce 2.96, 4 Pu 2.96

Calculated values
symmetry = F-43m (216)
DOS at the Fermi energy = 7.289 states/eV/cell
E_tot = -10.4452 eV/atom
formation energy = 0.020 eV per atom


The following is a DFT calculation (PBE) of a geometry-optimized CePuThOs structure.

a = 5.0958 Å, b = 5.0958 Å, c = 5.0958 Å
α = 60.00°, β = 60.00°, γ = 60.00°
Closest atoms and distances in Å follow each position.
Element x y z (fractional)
Pu 0.7500 0.7500 0.7500  4 Ce 3.12, 4 Th 3.12
Th 0.0000 0.0000 0.0000  4 Pu 3.12, 4 Os 3.12
Os 0.2500 0.2500 0.2500  4 Ce 3.12, 4 Th 3.12
Ce 0.5000 0.5000 0.5000  4 Os 3.12, 4 Pu 3.12

Calculated values
symmetry = F-43m (216)
DOS at the Fermi energy = 9.953 states/eV/cell
E_tot = -9.6593 eV/atom
formation energy = 0.070 eV per atom


The following is a DFT calculation (PBE) of a geometry-optimized CePuTlOs structure.

a = 3.2876 Å, b = 3.2876 Å, c = 8.8719 Å
α = 90.00°, β = 90.00°, γ = 90.00°
Closest atoms and distances in Å follow each position.
Element x y z (fractional)
Tl 0.0000 0.0000 0.0745  4 Tl 3.29, 4 Pu 3.49, 4 Ce 3.54
Os 0.0000 0.0000 0.5695  4 Pu 2.93, 4 Ce 2.94
Ce 0.5000 0.5000 0.7731  4 Os 2.94, 4 Ce 3.29
Pu 0.5000 0.5000 0.3676  4 Os 2.93

Calculated values
symmetry = P4mm (99)
DOS at the Fermi energy = 8.899 states/eV/cell
E_tot = -8.6097 eV/atom
formation energy = -0.144 eV per atom